# 1
DFT (PBE) results for Pb3I4Cl2 after structural relaxation.

Unit cell a=4.376 b=4.376 c=23.410 alpha=90.00 beta=90.00 gamma=120.00
Element x y z (fractional)
Cl: 0.000 0.000 0.930
Cl: 0.000 0.000 0.070
Pb: 0.000 0.000 0.316
Pb: 0.000 0.000 0.684
Pb: 0.667 0.333 0.000
I: 0.667 0.333 0.773
I: 0.667 0.333 0.596
I: 0.667 0.333 0.404
I: 0.667 0.333 0.227

Formation energy from raw total energies, meV/atom: -715.7
Calculated density, g/cm3: 5.13
Crystal system: hexagonal


# 2
DFT (PBE) results for U2InCl11 after structural relaxation.

Unit cell a=11.144 b=11.144 c=11.144 alpha=113.05 beta=112.59 gamma=102.96
Element x y z (fractional)
U: 0.845 0.840 0.685
U: 0.155 0.160 0.315
U: 0.345 0.660 0.005
U: 0.655 0.340 0.995
Cl: 0.924 0.135 0.316
Cl: 0.295 0.301 0.596
Cl: 0.319 0.635 0.211
Cl: 0.500 0.500 0.000
Cl: 0.372 0.688 0.802
Cl: 0.886 0.570 0.198
Cl: 0.705 0.699 0.404
Cl: 0.128 0.930 0.316
Cl: 0.181 0.391 0.316
Cl: 0.076 0.865 0.684
Cl: 0.872 0.070 0.684
Cl: 0.576 0.891 0.211
Cl: 0.614 0.812 0.684
Cl: 0.386 0.188 0.316
Cl: 0.000 0.000 0.000
Cl: 0.114 0.430 0.802
Cl: 0.681 0.365 0.789
Cl: 0.819 0.609 0.684
Cl: 0.205 0.801 0.006
Cl: 0.795 0.199 0.994
Cl: 0.424 0.109 0.789
Cl: 0.628 0.312 0.198
In: 0.250 0.750 0.500
In: 0.750 0.250 0.500

Formation energy from raw total energies, meV/atom: -1509.4
Calculated density, g/cm3: 3.09
Crystal system: orthorhombic


The records above give, respectively, calculated total energy values of -3.05 -4.77 eV per atom.
The records above give, respectively, calculated volume values of 388.2 1055.2 Å³/cell.